Entry 1:
RbMgNiOs2 | PBE | optimized geometry

The magnetization comes out at 0.00 μB per cell. For the formation enthalpy at 0 K, the calculation gives 1.708 eV/atom.

It has space group P4/mmm (No. 123), with a = 4.567 Å, b = 4.567 Å, c = 5.391 Å, α = 90.00°, β = 90.00° and γ = 90.00°. Symmetry generates all atoms from Rb at (0.000, 0.000, 0.000), Mg at (0.500, 0.500, 0.000), Ni at (0.000, 0.000, 0.500) and Os at (0.000, 0.500, 0.500).


Entry 2:
MgNiOs2Rh | PBE | optimized geometry

The magnetization comes out at 0.03 μB per cell. For the formation enthalpy at 0 K, the calculation gives 1.377 eV/atom.

It has space group P4/mmm (No. 123), with a = 4.408 Å, b = 4.408 Å, c = 4.591 Å, α = 90.00°, β = 90.00° and γ = 90.00°. Symmetry generates all atoms from Mg at (0.000, 0.000, 0.000), Ni at (0.500, 0.500, 0.500), Os at (0.000, 0.500, 0.500) and Rh at (0.500, 0.500, 0.000).


Entry 3:
MgScNiOs | PBE | optimized geometry

The magnetization comes out at 0.00 μB per cell. For the formation enthalpy at 0 K, the calculation gives -0.141 eV/atom.

It has space group F-43m (No. 216), with a = 6.296 Å, b = 6.296 Å, c = 6.296 Å, α = 90.00°, β = 90.00° and γ = 90.00°. Symmetry generates all atoms from Mg at (0.000, 0.000, 0.000), Sc at (0.000, 0.000, 0.500), Ni at (0.250, 0.250, 0.250) and Os at (0.250, 0.250, 0.750).


Entry 4:
MgTa2NiOs | PBE | optimized geometry

The magnetization comes out at 0.00 μB per cell. For the formation enthalpy at 0 K, the calculation gives 1.063 eV/atom.

It has space group P4/mmm (No. 123), with a = 4.817 Å, b = 4.817 Å, c = 4.692 Å, α = 90.00°, β = 90.00° and γ = 90.00°. Symmetry generates all atoms from Mg at (0.000, 0.000, 0.000), Ta at (0.000, 0.500, 0.500), Ni at (0.500, 0.500, 0.000) and Os at (0.500, 0.500, 0.500).


Entry 5:
MgTcNiOs | PBE | optimized geometry

The magnetization comes out at 3.33 μB per cell. For the formation enthalpy at 0 K, the calculation gives 0.148 eV/atom.

It has space group F-43m (No. 216), with a = 6.084 Å, b = 6.084 Å, c = 6.084 Å, α = 90.00°, β = 90.00° and γ = 90.00°. Symmetry generates all atoms from Mg at (0.000, 0.000, 0.000), Tc at (0.000, 0.000, 0.500), Ni at (0.250, 0.250, 0.750) and Os at (0.250, 0.250, 0.250).


Entry 6:
Mg2TcNiOs | PBE | optimized geometry

The magnetization comes out at 1.97 μB per cell. For the formation enthalpy at 0 K, the calculation gives 1.409 eV/atom.

It has space group P4/mmm (No. 123), with a = 4.900 Å, b = 4.900 Å, c = 4.580 Å, α = 90.00°, β = 90.00° and γ = 90.00°. Symmetry generates all atoms from Mg at (0.000, 0.500, 0.000), Tc at (0.000, 0.000, 0.000), Ni at (0.500, 0.500, 0.500) and Os at (0.000, 0.000, 0.500).


Entry 7:
ThMgNiOs | PBE | optimized geometry

The magnetization comes out at 0.00 μB per cell. For the formation enthalpy at 0 K, the calculation gives -0.126 eV/atom.

It has space group F-43m (No. 216), with a = 6.693 Å, b = 6.693 Å, c = 6.693 Å, α = 90.00°, β = 90.00° and γ = 90.00°. Symmetry generates all atoms from Th at (0.000, 0.000, 0.000), Mg at (0.000, 0.000, 0.500), Ni at (0.250, 0.250, 0.250) and Os at (0.250, 0.250, 0.750).


Entry 8:
MgTiNi2Os | PBE | optimized geometry

The magnetization comes out at 0.00 μB per cell. For the formation enthalpy at 0 K, the calculation gives 1.110 eV/atom.

It has space group P4/mmm (No. 123), with a = 4.151 Å, b = 4.151 Å, c = 4.593 Å, α = 90.00°, β = 90.00° and γ = 90.00°. Symmetry generates all atoms from Mg at (0.000, 0.000, 0.000), Ti at (0.500, 0.500, 0.500), Ni at (0.000, 0.500, 0.000) and Os at (0.000, 0.000, 0.500).